Entry 1:
First-principles (GGA-PBE) data for CsSiAsBr2 after structural relaxation, as listed in the Alexandria database.

The volume is 32.1 A^3/atom. The value obtained for the formation energy from raw total energies is -0.398 eV per atom. The total DFT energy (no corrections) comes out at -3.25 eV per atom. For the relative energy among the computed polymorphs, the calculation gives 0.000 eV/atom.

Unit cell a=5.6470 b=5.6470 c=5.0277 alpha=90.00 beta=90.00 gamma=90.00
Closest atoms and distances in Å follow each position.
Element x y z (fractional)
1 Cs 0.0000 0.0000 0.0000  8 Br 3.78, 4 As 3.99
2 Si 0.5000 0.5000 0.5000  2 As 2.51
3 As 0.5000 0.5000 0.0000  2 Si 2.51
4 Br 0.0000 0.5000 0.5000  2 Si 2.82
5 Br 0.5000 0.0000 0.5000  2 Si 2.82

Entry 2:
First-principles (GGA-PBE) data for CsSiAs2Br after structural relaxation, as listed in the Alexandria database.

The volume is 32.6 A^3/atom. The value obtained for the formation energy from raw total energies is -0.066 eV per atom. The total DFT energy (no corrections) comes out at -3.52 eV per atom. For the relative energy among the computed polymorphs, the calculation gives 0.000 eV/atom.

Unit cell a=4.8420 b=4.8420 c=6.9559 alpha=90.00 beta=90.00 gamma=90.00
Closest atoms and distances in Å follow each position.
Element x y z (fractional)
1 Cs 0.0000 0.0000 0.0000  4 Br 3.42
2 Si 0.5000 0.5000 0.5000  4 As 2.42
3 As 0.0000 0.5000 0.5000  2 Si 2.42
4 As 0.5000 0.0000 0.5000  2 Si 2.42
5 Br 0.5000 0.5000 0.0000  4 Cs 3.42, 2 Si 3.48

Entry 3:
First-principles (GGA-PBE) data for CsSiAs2Br after structural relaxation, as listed in the Alexandria database.

The volume is 46.8 A^3/atom. The value obtained for the formation energy from raw total energies is 1.538 eV per atom. The total DFT energy (no corrections) comes out at -1.91 eV per atom. For the relative energy among the computed polymorphs, the calculation gives 1.604 eV/atom.

Unit cell a=6.0692 b=6.0692 c=6.3534 alpha=90.00 beta=90.00 gamma=90.00
Closest atoms and distances in Å follow each position.
Element x y z (fractional)
1 Cs 0.0000 0.0000 0.0000  4 As 3.03, 2 Br 3.18
2 Si 0.5000 0.5000 0.5000  4 Br 4.29, 8 As 4.39
3 As 0.0000 0.5000 0.0000  2 Cs 3.03
4 As 0.5000 0.0000 0.0000  2 Cs 3.03
5 Br 0.0000 0.0000 0.5000  2 Cs 3.18

Entry 4:
First-principles (GGA-PBE) data for Cs2SiAsBr6 after structural relaxation, as listed in the Alexandria database.

The volume is 33.3 A^3/atom. The value obtained for the formation energy from raw total energies is -0.889 eV per atom. The total DFT energy (no corrections) comes out at -3.07 eV per atom.

Unit cell a=7.7855 b=7.7855 c=7.7855 alpha=120.09 beta=120.09 gamma=89.85
Closest atoms and distances in Å follow each position.
Element x y z (fractional)
1 Cs 0.2500 0.7500 0.5000  12 Br 3.89
2 Cs 0.7500 0.2500 0.5000  12 Br 3.89
3 Si 0.0000 0.0000 0.0000  6 Br 2.70-2.71
4 As 0.5000 0.5000 0.0000  6 Br 2.80
5 Br 0.2460 0.2460 0.0000  1 Si 2.71, 1 As 2.80
6 Br 0.2458 0.2458 0.4915  1 Si 2.70, 1 As 2.80
7 Br 0.2458 0.7542 0.0000  1 Si 2.70, 1 As 2.80
8 Br 0.7542 0.2458 0.0000  1 Si 2.70, 1 As 2.80
9 Br 0.7540 0.7540 0.0000  1 Si 2.71, 1 As 2.80
10 Br 0.7542 0.7542 0.5085  1 Si 2.70, 1 As 2.80

Entry 5:
First-principles (GGA-PBE) data for CsSiAsBr2 after structural relaxation, as listed in the Alexandria database.

The volume is 53.5 A^3/atom. The value obtained for the formation energy from raw total energies is 0.917 eV per atom. The total DFT energy (no corrections) comes out at -1.94 eV per atom. For the relative energy among the computed polymorphs, the calculation gives 1.315 eV/atom.

Unit cell a=6.6049 b=6.6049 c=6.1325 alpha=90.00 beta=90.00 gamma=90.00
Closest atoms and distances in Å follow each position.
Element x y z (fractional)
1 Cs 0.0000 0.0000 0.0000  2 As 3.07, 4 Br 3.30
2 Si 0.5000 0.5000 0.5000  8 Br 4.51, 4 As 4.67
3 As 0.0000 0.0000 0.5000  2 Cs 3.07
4 Br 0.0000 0.5000 0.0000  2 Cs 3.30
5 Br 0.5000 0.0000 0.0000  2 Cs 3.30

Entry 6:
First-principles (GGA-PBE) data for Cs2SnAsBr6 after structural relaxation, as listed in the Alexandria database.

The volume is 37.1 A^3/atom. The value obtained for the formation energy from raw total energies is -1.012 eV per atom. The total DFT energy (no corrections) comes out at -3.05 eV per atom.

Unit cell a=8.0700 b=8.0700 c=8.0700 alpha=120.13 beta=120.13 gamma=89.78
Closest atoms and distances in Å follow each position.
Element x y z (fractional)
1 Cs 0.2500 0.7500 0.5000  12 Br 4.03-4.04
2 Cs 0.7500 0.2500 0.5000  12 Br 4.03-4.04
3 Sn 0.0000 0.0000 0.0000  6 Br 2.93-2.94
4 As 0.5000 0.5000 0.0000  6 Br 2.76-2.78
5 Br 0.2569 0.2569 0.0000  1 As 2.78, 1 Sn 2.94
6 Br 0.2573 0.2573 0.5147  1 As 2.76, 1 Sn 2.93
7 Br 0.2573 0.7427 0.0000  1 As 2.76, 1 Sn 2.93
8 Br 0.7427 0.2573 0.0000  1 As 2.76, 1 Sn 2.93
9 Br 0.7431 0.7431 0.0000  1 As 2.78, 1 Sn 2.94
10 Br 0.7427 0.7427 0.4853  1 As 2.76, 1 Sn 2.93

Entry 7:
First-principles (GGA-PBE) data for CsSnAsBr2 after structural relaxation, as listed in the Alexandria database.

The volume is 50.2 A^3/atom. The value obtained for the formation energy from raw total energies is 0.448 eV per atom. The total DFT energy (no corrections) comes out at -2.12 eV per atom. For the relative energy among the computed polymorphs, the calculation gives 1.032 eV/atom.

Unit cell a=6.4356 b=6.4356 c=6.0603 alpha=90.00 beta=90.00 gamma=90.00
Closest atoms and distances in Å follow each position.
Element x y z (fractional)
1 Cs 0.0000 0.0000 0.0000  2 As 3.03, 4 Br 3.22
2 Sn 0.5000 0.5000 0.5000  8 Br 4.42, 4 As 4.55
3 As 0.0000 0.0000 0.5000  2 Cs 3.03
4 Br 0.0000 0.5000 0.0000  2 Cs 3.22
5 Br 0.5000 0.0000 0.0000  2 Cs 3.22

Entry 8:
First-principles (GGA-PBE) data for CsSnAsBr2 after structural relaxation, as listed in the Alexandria database.

The volume is 38.0 A^3/atom. The value obtained for the formation energy from raw total energies is -0.583 eV per atom. The total DFT energy (no corrections) comes out at -3.15 eV per atom. For the relative energy among the computed polymorphs, the calculation gives 0.000 eV/atom.

Unit cell a=5.9735 b=5.9735 c=5.3310 alpha=90.00 beta=90.00 gamma=90.00
Closest atoms and distances in Å follow each position.
Element x y z (fractional)
1 Cs 0.0000 0.0000 0.0000  8 Br 4.00, 4 As 4.22
2 Sn 0.5000 0.5000 0.5000  2 As 2.67
3 As 0.5000 0.5000 0.0000  2 Sn 2.67
4 Br 0.0000 0.5000 0.5000  2 Sn 2.99
5 Br 0.5000 0.0000 0.5000  2 Sn 2.99

Entry 9:
First-principles (GGA-PBE) data for Cs2SrAsBr6 after structural relaxation, as listed in the Alexandria database.

The volume is 41.6 A^3/atom. The value obtained for the formation energy from raw total energies is -1.360 eV per atom. The total DFT energy (no corrections) comes out at -3.17 eV per atom.

Unit cell a=8.5907 b=8.5907 c=8.5907 alpha=124.27 beta=124.27 gamma=82.76
Closest atoms and distances in Å follow each position.
Element x y z (fractional)
1 Cs 0.2500 0.7500 0.5000  12 Br 4.02-4.30
2 Cs 0.7500 0.2500 0.5000  12 Br 4.02-4.30
3 Sr 0.0000 0.0000 0.0000  6 Br 2.98-3.03
4 As 0.5000 0.5000 0.0000  4 Br 2.65
5 Br 0.2310 0.2310 0.0000  1 Sr 2.98
6 Br 0.2670 0.2670 0.5341  1 As 2.65
7 Br 0.2670 0.7330 0.0000  1 As 2.65
8 Br 0.7330 0.2670 0.0000  1 As 2.65
9 Br 0.7330 0.7330 0.4659  1 As 2.65
10 Br 0.7690 0.7690 0.0000  1 Sr 2.98

Entry 10:
First-principles (GGA-PBE) data for CsTaAs2Br after structural relaxation, as listed in the Alexandria database.

The volume is 39.2 A^3/atom. The value obtained for the formation energy from raw total energies is 2.072 eV per atom. The total DFT energy (no corrections) comes out at -2.66 eV per atom. For the relative energy among the computed polymorphs, the calculation gives 2.464 eV/atom.

Unit cell a=5.6965 b=5.6965 c=6.0385 alpha=90.00 beta=90.00 gamma=90.00
Closest atoms and distances in Å follow each position.
Element x y z (fractional)
1 Cs 0.0000 0.0000 0.0000  4 As 2.85, 2 Br 3.02
2 Ta 0.5000 0.5000 0.5000  4 Br 4.03, 8 As 4.15
3 As 0.0000 0.5000 0.0000  2 Cs 2.85
4 As 0.5000 0.0000 0.0000  2 Cs 2.85
5 Br 0.0000 0.0000 0.5000  2 Cs 3.02

Entry 11:
First-principles (GGA-PBE) data for CsTaAs2Br after structural relaxation, as listed in the Alexandria database.

The volume is 29.1 A^3/atom. The value obtained for the formation energy from raw total energies is -0.392 eV per atom. The total DFT energy (no corrections) comes out at -5.13 eV per atom. For the relative energy among the computed polymorphs, the calculation gives 0.000 eV/atom.

Unit cell a=5.0405 b=5.0405 c=5.7209 alpha=90.00 beta=90.00 gamma=90.00
Closest atoms and distances in Å follow each position.
Element x y z (fractional)
1 Cs 0.0000 0.0000 0.0000  4 Br 3.56, 8 As 3.81
2 Ta 0.5000 0.5000 0.5000  4 As 2.52
3 As 0.0000 0.5000 0.5000  2 Ta 2.52
4 As 0.5000 0.0000 0.5000  2 Ta 2.52
5 Br 0.5000 0.5000 0.0000  2 Ta 2.86

Entry 12:
First-principles (GGA-PBE) data for CsTcAsBr2 after structural relaxation, as listed in the Alexandria database.

The volume is 29.9 A^3/atom. The value obtained for the formation energy from raw total energies is -0.371 eV per atom. The total DFT energy (no corrections) comes out at -4.21 eV per atom.

Unit cell a=5.6007 b=5.6007 c=4.7685 alpha=90.00 beta=90.00 gamma=90.00
Closest atoms and distances in Å follow each position.
Element x y z (fractional)
1 Cs 0.0000 0.0000 0.0000  8 Br 3.68, 4 As 3.96
2 Tc 0.5000 0.5000 0.5000  2 As 2.38
3 As 0.5000 0.5000 0.0000  2 Tc 2.38
4 Br 0.0000 0.5000 0.5000  2 Tc 2.80
5 Br 0.5000 0.0000 0.5000  2 Tc 2.80

Entry 13:
First-principles (GGA-PBE) data for CsTcAs2Br after structural relaxation, as listed in the Alexandria database.

The volume is 43.5 A^3/atom. The value obtained for the formation energy from raw total energies is 1.890 eV per atom. The total DFT energy (no corrections) comes out at -2.55 eV per atom. For the relative energy among the computed polymorphs, the calculation gives 2.089 eV/atom.

Unit cell a=5.9043 b=5.9043 c=6.2382 alpha=90.00 beta=90.00 gamma=90.00
Closest atoms and distances in Å follow each position.
Element x y z (fractional)
1 Cs 0.0000 0.0000 0.0000  4 As 2.95, 2 Br 3.12
2 Tc 0.5000 0.5000 0.5000  4 Br 4.17, 8 As 4.29
3 As 0.0000 0.5000 0.0000  2 Cs 2.95
4 As 0.5000 0.0000 0.0000  2 Cs 2.95
5 Br 0.0000 0.0000 0.5000  2 Cs 3.12